# La3ReRh PBEsol optimized geometry
# ΔH_f (0 K)   662 meV/atom
# Energy   -34.20 eV for the cell shown
# Density   7.97 g/cm3
data_La3ReRh
_chemical_formula_sum 'La3 Re1 Rh1'
_cell_length_a 5.278
_cell_length_b 5.278
_cell_length_c 5.278
_cell_angle_alpha 90.00
_cell_angle_beta 90.00
_cell_angle_gamma 90.00
_space_group_name_H-M_alt 'P m -3 m'
_space_group_IT_number 221
_space_group_name_Hall '-P 4 2 3'
loop_
_atom_site_label
_atom_site_type_symbol
_atom_site_fract_x
_atom_site_fract_y
_atom_site_fract_z
La1 La 0.000 0.000 0.500
Re1 Re 0.500 0.500 0.500
Rh1 Rh 0.000 0.000 0.000